4
Lattice="5.381 0.000 0.000 0.000 5.381 0.000 -2.690 -2.690 3.814" Properties=species:S:1:pos:R:3 comment="LiTm3, relaxed, DFT GGA-PBE" e_form_mev_per_atom=176 e_tot_ev_per_atom=-3.66 n_ef_per_ev_atom=0.66 sg=I4/mmm pbc="T T T"
Li 0.000 0.000 0.000
Tm 0.000 2.690 1.907
Tm 2.690 0.000 1.907
Tm 2.690 2.690 0.000


3
Lattice="3.218 0.056 0.617 1.582 2.891 0.479 1.490 -0.286 8.251" Properties=species:S:1:pos:R:3 comment="Li2Tm, relaxed, DFT GGA-PBE" e_form_mev_per_atom=134 e_tot_ev_per_atom=-2.63 n_ef_per_ev_atom=0.68 sg=P-1 pbc="T T T"
Tm 1.768 -0.069 4.748
Li 2.791 0.787 7.747
Li 2.334 1.968 2.228


4
Lattice="4.365 0.000 0.000 0.000 4.365 0.000 -2.183 -2.183 4.728" Properties=species:S:1:pos:R:3 comment="Li3Tm, relaxed, DFT GGA-PBE" e_form_mev_per_atom=205 e_tot_ev_per_atom=-2.35 n_ef_per_ev_atom=0.76 sg=I4/mmm pbc="T T T"
Li 2.183 2.183 0.000
Li 2.183 0.000 2.364
Li 0.000 2.183 2.364
Tm 0.000 0.000 0.000


3
Lattice="-0.221 1.672 -3.167 -3.524 -0.665 -0.106 0.932 4.080 4.123" Properties=species:S:1:pos:R:3 comment="Li2Tm, relaxed, DFT GGA-PBE" e_form_mev_per_atom=137 e_tot_ev_per_atom=-2.63 n_ef_per_ev_atom=0.36 sg=I4/mmm pbc="T T T"
Li -2.230 2.245 -0.692
Tm 0.000 0.000 0.000
Li -0.583 2.842 1.542